VASP calculation (PBE) on a geometry-optimized FeGe6Rh3 structure.

Computed properties:
The value obtained for the density of states at the Fermi level is 3.749 states/eV/f.u. The value obtained for the formation energy is -2.56 eV per formula unit.

```
FeGe6Rh3
1.0
6.4875 0.0000 0.0000
0.0000 6.1590 0.0000
-5.9079 0.0000 8.0892
Fe Ge Rh
2 12 6
Direct
0.0000 0.0000 0.0000
0.0000 0.5000 0.5000
0.0698 0.0187 0.2492
0.0698 0.4813 0.7492
0.2073 0.1631 0.5662
0.2073 0.3369 0.0662
0.3942 0.6336 0.5583
0.3942 0.8664 0.0583
0.6058 0.1336 0.9417
0.6058 0.3664 0.4417
0.7927 0.6631 0.9338
0.7927 0.8369 0.4338
0.9302 0.5187 0.2508
0.9302 0.9813 0.7508
0.2742 0.6589 0.2441
0.2742 0.8411 0.7441
0.5000 0.0000 0.5000
0.5000 0.5000 0.0000
0.7258 0.1589 0.2559
0.7258 0.3411 0.7559
```